[1]
Entry from Alexandria via LeMat-Bulk: a geometry-optimized CoPt2Pb structure (PBE).

Geometry as POSCAR:
```
CoPt2Pb
1.0
4.8603 0.0149 -0.0108
1.3264 4.6758 0.0108
-3.0851 -2.3562 2.9246
Pt Co Pb
2 1 1
Cartesian
2.4349 0.0026 1.4569 Pt
0.0010 0.0008 0.0000 Pt
3.0914 2.3439 0.0000 Co
0.6675 2.3326 1.4677 Pb
```

Magnetic moment ... 0.431 μB per atom



[2]
Entry from Alexandria via LeMat-Bulk: a geometry-optimized BaHg2BiAu structure (PBE).

Geometry as POSCAR:
```
BaHg2BiAu
1.0
-0.3482 -4.8534 -1.7368
2.6104 1.3153 -4.1989
3.8453 0.4525 5.6491
Hg Bi Au Ba
2 1 1 1
Cartesian
1.6979 -2.9219 0.1402 Hg
0.5309 -0.1404 0.2860 Hg
3.3597 0.1141 -0.9924 Bi
4.2740 -2.6005 -1.2744 Au
4.4637 -1.1809 2.4051 Ba
```

Magnetic moment ... 0.000 μB per atom



Number 1: N(E_F) 4.9 states/eV/cell, ΔE_f 0.1557 eV per atom. Number 2: N(E_F) 1.9 states/eV/cell, ΔE_f -0.4301 eV per atom.